Run P
A plane-wave DFT calculation with PBE was carried out for an optimized crystal structure of La8PrMg2.

Cell and atoms, written as extended XYZ:
```
11
Lattice="4.562 -8.205 0.000 4.562 8.205 0.000 -3.187 0.000 5.152" Properties=species:S:1:pos:R:3 pbc="T T T"
La -0.149 1.974 3.440
La 4.562 4.790 0.000
La -0.149 -1.974 3.440
La 3.174 0.000 1.059
La 2.763 0.000 4.093
La 6.086 1.974 1.713
La 4.562 -4.790 0.000
La 6.086 -1.974 1.713
Pr 0.000 0.000 0.000
Mg 2.968 3.122 2.576
Mg 2.968 -3.122 2.576
```

Run Q
A plane-wave DFT calculation with PBE was carried out for an optimized crystal structure of La8PrMg2.

Cell and atoms, written as extended XYZ:
```
11
Lattice="8.938 -2.691 0.000 8.938 2.691 0.000 -3.045 0.000 7.961" Properties=species:S:1:pos:R:3 pbc="T T T"
La 0.161 0.000 1.863
La 0.463 0.000 5.550
La 3.920 0.000 4.401
La 7.092 0.000 0.294
La 7.739 0.000 7.667
La 10.911 0.000 3.560
La 14.368 0.000 2.412
La 14.670 0.000 6.098
Pr 7.415 0.000 3.981
Mg 3.622 0.000 1.038
Mg 11.209 0.000 6.923
```

run Q (0.089 eV/atom below the next structure)